[1]
V2TcRh8 after structural relaxation. Source: the Alexandria database, functional PBE.

Structure (extended XYZ):
```
11
Lattice="-0.956 -3.010 2.478 6.324 -0.906 1.339 -3.097 5.870 2.684" Properties=species:S:1:pos:R:3 pbc="T T T"
V -0.725 0.841 3.993
V 2.997 1.113 2.508
Rh 2.398 0.757 5.096
Rh -1.624 2.911 2.909
Rh 3.895 -0.956 3.593
Rh -2.173 2.591 5.560
Rh 1.050 2.528 3.475
Rh 4.445 -0.637 0.941
Rh 1.222 -0.573 3.026
Rh -0.126 1.197 1.405
Tc -0.478 -1.505 1.239
```

Results
Total moment, μB per cell: 0.0
Energy of formation, eV/atom: -0.1577
Space group: Immm, No. 71

=====

[2]
ZrCo2AsPb after structural relaxation. Source: the Alexandria database, functional PBE.

Structure (extended XYZ):
```
5
Lattice="4.319 0.000 0.000 0.000 5.531 0.000 0.000 0.000 4.319" Properties=species:S:1:pos:R:3 pbc="T T T"
As 0.000 0.000 0.000
Zr 2.160 2.765 2.160
Co 2.160 0.000 0.000
Co 0.000 0.000 2.160
Pb 0.000 2.765 0.000
```

Results
Total moment, μB per cell: 1.4
Energy of formation, eV/atom: 0.5506
Space group: P4/mmm, No. 123

=====

[3]
FeAsPbSe2 after structural relaxation. Source: the Alexandria database, functional PBE.

Structure (extended XYZ):
```
5
Lattice="5.069 0.000 0.000 0.000 5.069 0.000 0.000 0.000 4.479" Properties=species:S:1:pos:R:3 pbc="T T T"
Fe 0.000 0.000 0.000
As 0.000 0.000 2.239
Pb 2.535 2.535 2.239
Se 0.000 2.535 0.000
Se 2.535 0.000 0.000
```

Results
Total moment, μB per cell: 2.3
Offset from the most stable computed form, eV per atom: 0.0000
Space group: P4/mmm, No. 123
ΔE_f (raw), eV/atom: 0.106

=====

[4]
Pm2DyNi3Ge4 after structural relaxation. Source: the Alexandria database, functional PBE.

Structure (extended XYZ):
```
10
Lattice="4.176 0.000 0.000 0.000 4.176 0.000 0.000 0.000 10.926" Properties=species:S:1:pos:R:3 pbc="T T T"
Ge 2.088 2.088 0.000
Ge 2.088 0.000 7.357
Ge 0.000 2.088 3.569
Ge 0.000 0.000 0.000
Dy 2.088 2.088 5.463
Ni 2.088 0.000 9.723
Ni 0.000 2.088 1.202
Ni 0.000 0.000 5.463
Pm 0.000 2.088 8.503
Pm 2.088 0.000 2.423
```

Results
Total moment, μB per cell: 0.0
Energy of formation, eV/atom: -0.6562
Space group: P-4m2, No. 115

=====

[5]
Mg3BiC after structural relaxation. Source: the Alexandria database, functional PBE.

Structure (extended XYZ):
```
5
Lattice="-0.909 -4.486 -3.080 3.629 1.827 -3.732 4.055 -2.641 2.649" Properties=species:S:1:pos:R:3 pbc="T T T"
C 3.387 -2.650 -2.081
Mg 1.814 0.913 -1.866
Mg -0.455 -2.243 -1.540
Mg 2.027 -1.321 1.325
Bi 0.000 0.000 0.000
```

Results
Total moment, μB per cell: 1.3
Offset from the most stable computed form, eV per atom: 1.5684
Energy of formation, eV/atom: 1.6312
Space group: Pm-3m, No. 221

=====

[6]
AcScCuS4 after structural relaxation. Source: the Alexandria database, functional PBE.

Structure (extended XYZ):
```
14
Lattice="-5.803 1.069 -2.953 -1.985 -4.979 2.098 -0.419 3.262 7.343" Properties=species:S:1:pos:R:3 pbc="T T T"
Sc -2.306 0.885 3.868
Sc -5.901 -1.534 2.621
S -4.331 -1.315 4.626
S -2.386 -2.532 7.297
S -3.876 0.666 1.863
S -4.076 -2.843 1.242
S -5.822 1.883 -0.808
S -6.756 -0.462 0.180
S -1.451 -0.187 6.309
S -4.132 2.194 5.247
Cu -5.193 1.794 3.293
Cu -3.014 -2.443 3.196
Ac -1.996 -0.768 0.238
Ac -6.211 0.119 6.251
```

Results
Total moment, μB per cell: 0.0
Space group: P2_1/m, No. 11
ΔE_f (raw), eV/atom: -1.406

=====

[7]
NbI3 after structural relaxation. Source: the Alexandria database, functional PBE.

Structure (extended XYZ):
```
4
Lattice="0.000 3.876 3.876 3.876 0.000 3.876 3.876 3.876 0.000" Properties=species:S:1:pos:R:3 pbc="T T T"
I 1.938 1.938 1.938
I 3.876 3.876 3.876
I 5.813 5.813 5.813
Nb 0.000 0.000 0.000
```

Results
Total moment, μB per cell: 2.0
Space group: Fm-3m, No. 225
ΔE_f (raw), eV/atom: 0.615

=====

[8]
NaNdTlGa after structural relaxation. Source: the Alexandria database, functional PBE.

Structure (extended XYZ):
```
4
Lattice="5.282 0.000 0.000 2.641 4.574 0.000 2.641 1.525 4.313" Properties=species:S:1:pos:R:3 pbc="T T T"
Tl 7.923 4.574 3.235
Na 0.000 0.000 0.000
Nd 5.282 3.050 2.156
Ga 2.641 1.525 1.078
```

Results
Total moment, μB per cell: 0.0
Energy of formation, eV/atom: -0.2643
Space group: F-43m, No. 216

=====

[9]
LiHf2TiN after structural relaxation. Source: the Alexandria database, functional PBE.

Structure (extended XYZ):
```
5
Lattice="-3.803 -0.914 -2.089 2.237 -0.717 -3.760 0.407 -3.983 1.001" Properties=species:S:1:pos:R:3 pbc="T T T"
Hf 1.119 -0.358 -1.880
Hf -1.902 -0.457 -1.044
Ti 0.203 -1.992 0.501
Li -0.579 -2.807 -2.424
N 0.000 0.000 0.000
```

Results
Total moment, μB per cell: 0.0
Space group: P4/mmm, No. 123
ΔE_f (raw), eV/atom: -0.573

=====

[10]
Pm3Tm3ScSe8 after structural relaxation. Source: the Alexandria database, functional PBE.

Structure (extended XYZ):
```
15
Lattice="-5.131 -5.355 3.291 7.170 -2.488 -2.872 -0.285 4.490 6.861" Properties=species:S:1:pos:R:3 pbc="T T T"
Se -0.286 -4.125 2.845
Se 2.039 0.771 4.435
Se -1.307 -0.194 2.632
Se 5.634 -0.473 2.997
Se -0.521 -1.909 6.084
Se 3.060 -3.159 4.648
Se -3.881 -2.880 4.283
Se 2.274 -1.444 1.196
Pm 3.585 -1.244 -1.436
Pm 0.000 0.000 0.000
Pm 1.019 -3.922 0.210
Sc -0.143 2.245 3.430
Tm -2.708 -0.433 5.076
Tm 0.877 -1.677 3.640
Tm 3.442 1.001 1.994
```

Results
Total moment, μB per cell: 0.0
Space group: R-3m, No. 166
ΔE_f (raw), eV/atom: -1.807

=====

[11]
Li2ScW after structural relaxation. Source: the Alexandria database, functional PBE.

Structure (extended XYZ):
```
4
Lattice="-1.602 -3.050 2.871 -3.417 -2.641 -1.209 0.696 -4.367 -0.748" Properties=species:S:1:pos:R:3 pbc="T T T"
W -2.161 -5.029 0.457
Sc 0.000 0.000 0.000
Li -3.242 -7.543 0.686
Li -1.081 -2.514 0.229
```

Results
Total moment, μB per cell: 0.0
Offset from the most stable computed form, eV per atom: 0.4137
Energy of formation, eV/atom: 0.6883
Space group: Fm-3m, No. 225

=====

[12]
ZrNiW2 after structural relaxation. Source: the Alexandria database, functional PBE.

Structure (extended XYZ):
```
4
Lattice="-2.692 -3.222 3.180 4.332 -1.860 -2.347 1.493 0.826 2.102" Properties=species:S:1:pos:R:3 pbc="T T T"
Zr -0.599 -1.198 2.641
W 0.000 0.000 0.000
W 0.820 -2.541 0.417
Ni 2.913 -0.517 -0.122
```

Results
Total moment, μB per cell: 0.0
Offset from the most stable computed form, eV per atom: 0.3376
Energy of formation, eV/atom: 0.3725
Space group: Cmmm, No. 65

=====

[13]
TaTiSb2 after structural relaxation. Source: the Alexandria database, functional PBE.

Structure (extended XYZ):
```
8
Lattice="6.322 0.000 0.000 0.000 6.322 0.000 3.161 3.161 6.251" Properties=species:S:1:pos:R:3 pbc="T T T"
Ti 3.161 3.161 0.000
Ti 3.161 6.322 3.125
Sb 4.753 1.580 1.563
Sb 7.902 7.914 4.688
Sb 1.568 4.741 1.563
Sb 4.741 4.729 4.688
Ta 6.322 3.161 3.125
Ta 0.000 0.000 0.000
```

Results
Total moment, μB per cell: 3.0
Offset from the most stable computed form, eV per atom: 0.7527
Space group: I-42d, No. 122
ΔE_f (raw), eV/atom: 0.698

=====

[14]
Na2NdAlS4 after structural relaxation. Source: the Alexandria database, functional PBE.

Structure (extended XYZ):
```
16
Lattice="7.876 -0.009 -0.260 -0.015 7.876 -0.260 -4.063 -4.066 5.823" Properties=species:S:1:pos:R:3 pbc="T T T"
S 0.074 3.733 2.658
S 3.663 3.695 2.787
S 1.978 -2.251 5.555
S 1.793 1.765 0.136
S 0.135 0.106 2.515
S 1.820 6.052 -0.254
S 2.005 2.035 5.166
S 3.724 0.067 2.644
Nd 5.837 1.896 2.521
Nd -0.007 3.938 -0.130
Al 1.899 1.900 2.651
Al 3.813 -4.075 5.562
Na -2.032 -2.033 2.911
Na 3.931 3.933 -0.260
Na 3.938 -0.004 -0.130
Na 1.906 -2.038 2.781
```

Results
Total moment, μB per cell: 0.0
Space group: Imma, No. 74
ΔE_f (raw), eV/atom: -1.383

=====

[15]
Dy2ErOs after structural relaxation. Source: the Alexandria database, functional PBE.

Structure (extended XYZ):
```
16
Lattice="-3.297 0.002 5.375 5.754 -2.966 3.530 3.103 8.283 1.901" Properties=species:S:1:pos:R:3 pbc="T T T"
Dy 2.038 6.802 7.397
Dy 5.451 5.319 8.289
Dy 0.109 0.000 2.517
Dy 0.875 3.697 6.685
Dy 1.272 3.105 3.230
Dy 4.288 2.214 7.576
Dy 3.521 -1.483 3.408
Dy 4.684 1.622 4.121
Os 2.859 0.934 2.026
Os 1.229 5.867 4.723
Os 2.700 4.385 8.780
Os 4.330 -0.548 6.083
Er 3.756 4.848 5.040
Er 7.424 3.364 5.515
Er -1.865 1.955 5.291
Er 1.803 0.472 5.766
```

Results
Total moment, μB per cell: 0.0
Offset from the most stable computed form, eV per atom: 0.0000
Energy of formation, eV/atom: -0.2689
Space group: Pnma, No. 62

=====

[16]
GdDyTc4 after structural relaxation. Source: the Alexandria database, functional PBE.

Structure (extended XYZ):
```
6
Lattice="-4.681 -1.482 2.286 -4.070 -1.802 -3.086 -1.403 -5.229 0.152" Properties=species:S:1:pos:R:3 pbc="T T T"
Tc -4.311 -4.420 1.139
Tc -6.347 -5.322 -0.405
Tc -5.645 -2.706 -0.481
Tc -4.005 -4.580 -1.549
Gd -2.538 -2.128 -0.162
Dy 0.000 0.000 0.000
```

Results
Total moment, μB per cell: 6.1
Energy of formation, eV/atom: -0.1087
Space group: F-43m, No. 216

=====

[17]
RbHgP2N after structural relaxation. Source: the Alexandria database, functional PBE.

Structure (extended XYZ):
```
5
Lattice="-3.488 -2.008 3.321 3.225 -2.497 1.877 1.008 3.844 3.382" Properties=species:S:1:pos:R:3 pbc="T T T"
P 0.504 1.922 1.691
P -1.744 -1.004 1.661
N 1.612 -1.248 0.938
Hg 0.000 0.000 0.000
Rb 0.372 -0.331 4.290
```

Results
Total moment, μB per cell: 1.2
Offset from the most stable computed form, eV per atom: 0.0000
Space group: P4/mmm, No. 123
ΔE_f (raw), eV/atom: 1.394

=====

[18]
NaTl6In6 after structural relaxation. Source: the Alexandria database, functional PBE.

Structure (extended XYZ):
```
13
Lattice="-1.507 5.994 -0.798 -8.089 1.506 2.255 1.658 4.588 6.999" Properties=species:S:1:pos:R:3 pbc="T T T"
Tl -1.794 3.497 5.319
Tl -3.220 6.029 2.699
Tl -4.638 2.598 3.935
Tl -6.277 9.073 7.002
Tl -4.718 6.060 5.756
Tl -1.661 3.016 1.454
In -1.304 6.887 5.525
In -4.798 3.750 0.728
In -4.044 0.753 1.128
In -6.634 5.202 2.931
In 0.075 5.291 3.100
In 0.829 2.294 3.499
Na 0.000 0.000 0.000
```

Results
Total moment, μB per cell: 0.0
Energy of formation, eV/atom: 0.0189
Space group: Immm, No. 71

=====

[19]
CaPr6Hg2 after structural relaxation. Source: the Alexandria database, functional PBE.

Structure (extended XYZ):
```
9
Lattice="-0.099 -2.101 3.170 5.533 -4.162 -0.303 8.509 5.840 6.418" Properties=species:S:1:pos:R:3 pbc="T T T"
Hg 2.082 0.107 2.419
Hg 11.862 -0.530 6.866
Pr 10.234 2.320 6.422
Pr 7.296 2.568 4.212
Pr 6.647 -2.990 5.073
Pr 4.552 0.082 4.761
Pr 9.391 -0.504 4.524
Pr 3.709 -2.743 2.863
Ca 0.000 0.000 0.000
```

Results
Total moment, μB per cell: 0.0
Energy of formation, eV/atom: -0.2181
Space group: C2/m, No. 12

=====

We obtain uncorrected energy values of -89.1, -28.4, -23.3, -56.5, -9.7, -81.8, -12.3, -12.5, -40.9, -89.0, -20.4, -38.7, -50.4, -77.4, -104.3, -60.8, -13.4, -31.7, -33.2 eV per cell for the records listed above, in that order.